Entry from OQMD: a relaxed ZrIrNO crystal (PBE-GGA).

Lattice parameters (Å, degrees): 3.7174 3.7174 6.9724 90.00 90.00 90.00
With the nearest neighbours (Å) after each atom.
Element x y z (fractional)
1 Ir 0.0000 0.0000 0.5000  4 N 2.25
2 Ir 0.5000 0.5000 0.5000  4 N 2.25
3 Zr 0.5000 0.0000 0.8355  4 O 2.18
4 Zr 0.0000 0.5000 0.1645  4 O 2.18
5 N 0.0000 0.5000 0.6807  4 Ir 2.25
6 N 0.5000 0.0000 0.3193  4 Ir 2.25
7 O 0.0000 0.0000 0.0000  4 Zr 2.18
8 O 0.5000 0.5000 0.0000  4 Zr 2.18

Summary:
Crystal system: tetragonal
Offset from the most stable computed form: 0.514 eV per atom

***

Entry from OQMD: a relaxed ZrIrNO crystal (PBE-GGA).

Lattice parameters (Å, degrees): 3.8439 5.0241 5.8559 90.00 90.00 90.00
With the nearest neighbours (Å) after each atom.
Element x y z (fractional)
1 N 0.0000 0.3418 0.7346  2 Ir 1.97-2.03, 2 Zr 2.13
2 N 0.0000 0.8418 0.2653  2 Ir 1.97-2.03, 2 Zr 2.13
3 O 0.5000 0.4022 0.1183  2 Zr 2.02-2.10
4 O 0.5000 0.9022 0.8817  2 Zr 2.02-2.10
5 Ir 0.0000 0.4896 0.4126  2 N 1.97-2.03
6 Ir 0.0000 0.9896 0.5874  2 N 1.97-2.03
7 Zr 0.5000 0.0204 0.2263  2 O 2.02-2.10, 2 N 2.13
8 Zr 0.5000 0.5204 0.7737  2 O 2.02-2.10, 2 N 2.13

Summary:
Crystal system: orthorhombic
Offset from the most stable computed form: 0.278 eV per atom

***

Entry from OQMD: a relaxed ZrIrNO crystal (PBE-GGA).

Lattice parameters (Å, degrees): 5.2050 5.3204 7.3615 90.00 90.00 90.00
With the nearest neighbours (Å) after each atom.
Element x y z (fractional)
1 O 0.6179 0.2631 0.5275  4 Zr 2.15-2.27
2 O 0.1179 0.2369 0.5275  4 Zr 2.15-2.27
3 O 0.1179 0.7369 0.4725  4 Zr 2.15-2.27
4 O 0.6179 0.7631 0.4725  4 Zr 2.15-2.27
5 Zr 0.8635 0.4733 0.3440  4 O 2.15-2.27, 2 N 2.19-2.40
6 Zr 0.3635 0.5267 0.6560  4 O 2.15-2.27, 2 N 2.19-2.40
7 Zr 0.3635 0.0267 0.3440  4 O 2.15-2.27, 2 N 2.19-2.40
8 Zr 0.8635 0.9733 0.6560  4 O 2.15-2.27, 2 N 2.19-2.40
9 Ir 0.0316 0.5431 0.9549  3 N 2.02-2.13
10 Ir 0.5316 0.9569 0.9549  3 N 2.02-2.13
11 Ir 0.5316 0.4569 0.0451  3 N 2.02-2.13
12 Ir 0.0316 0.0431 0.0451  3 N 2.02-2.13
13 N 0.1894 0.8695 0.8285  3 Ir 2.02-2.13, 1 Zr 2.19
14 N 0.6894 0.6305 0.8285  3 Ir 2.02-2.13, 1 Zr 2.19
15 N 0.1894 0.3695 0.1715  3 Ir 2.02-2.13, 1 Zr 2.19
16 N 0.6894 0.1305 0.1715  3 Ir 2.02-2.13, 1 Zr 2.19

Summary:
Crystal system: orthorhombic
Offset from the most stable computed form: 0.000 eV per atom